(1)
BeFeSbTe2: optimized geometry, PBE.

Results
Raw formation energy, eV/atom: 0.832
Distance to the lowest polymorph of the same formula, eV/atom: 0.0000
DOS at the Fermi energy, states/eV/cell: 6.2

a b c (Å): 5.0921 5.0921 4.6663
angles (deg): 90.00 90.00 90.00
With the nearest neighbours (Å) after each atom.
Space group P4/mmm (No. 123)
Asymmetric unit:
Be 0.0000 0.0000 0.0000  2 Sb 2.33, 4 Te 2.55
Fe 0.5000 0.5000 0.5000  8 Te 3.45, 4 Sb 3.60
Sb 0.0000 0.0000 0.5000  2 Be 2.33
Te 0.0000 0.5000 0.0000  2 Be 2.55


(2)
Mn2TlSe: optimized geometry, PBE.

Results
Raw formation energy, eV/atom: 0.852
Distance to the lowest polymorph of the same formula, eV/atom: 0.7355
DOS at the Fermi energy, states/eV/cell: 32.9

a b c (Å): 6.2495 6.2495 6.2495
angles (deg): 90.00 90.00 90.00
With the nearest neighbours (Å) after each atom.
Space group Fm-3m (No. 225)
Asymmetric unit:
Mn 0.2500 0.2500 0.2500  4 Tl 2.71, 4 Se 2.71
Tl 0.0000 0.0000 0.0000  8 Mn 2.71
Se 0.0000 0.0000 0.5000  8 Mn 2.71


(3)
Mg2TiBe: optimized geometry, PBE.

Results
ΔH_f (0 K), eV/atom: 0.57
DOS at the Fermi energy, states/eV/cell: 19.3

a b c (Å): 7.3949 7.3949 5.3441
angles (deg): 90.00 90.00 90.00
With the nearest neighbours (Å) after each atom.
Space group I-42d (No. 122)
Asymmetric unit:
Mg 0.1987 0.2500 0.1250  2 Be 2.45
Ti 0.0000 0.0000 0.5000  2 Be 2.67, 4 Mg 2.97
Be 0.0000 0.0000 0.0000  4 Mg 2.45, 2 Ti 2.67


(4)
ZrSc5Cu6: optimized geometry, PBE.

Results
ΔH_f (0 K), eV/atom: -0.24
DOS at the Fermi energy, states/eV/cell: 18.1

a b c (Å): 14.6199 6.4821 4.6375
angles (deg): 90.00 108.28 90.00
With the nearest neighbours (Å) after each atom.
Space group C2/m (No. 12)
Asymmetric unit:
Zr 0.0000 0.0000 0.0000  8 Cu 2.78-2.79
Sc 0.0000 0.5000 0.0000  8 Cu 2.85-2.88
Sc 0.1638 0.5000 0.6639  8 Cu 2.83-2.86
Sc 0.1707 0.0000 0.6707  8 Cu 2.80-2.82
Cu 0.0000 0.2371 0.5000  2 Zr 2.78, 6 Sc 2.82-2.88, 1 Cu 3.07
Cu 0.1664 0.2428 0.1662  1 Zr 2.79, 7 Sc 2.80-2.86


(5)
AgP2PdO: optimized geometry, PBE.

Results
Raw formation energy, eV/atom: 0.986
Distance to the lowest polymorph of the same formula, eV/atom: 0.3851
DOS at the Fermi energy, states/eV/cell: 4.8

a b c (Å): 4.8098 4.8098 3.8850
angles (deg): 90.00 90.00 90.00
With the nearest neighbours (Å) after each atom.
Space group P4/mmm (No. 123)
Asymmetric unit:
Ag 0.0000 0.0000 0.0000  2 O 1.94
P 0.0000 0.5000 0.0000  2 Ag 2.40
Pd 0.5000 0.5000 0.5000  8 P 3.09, 4 O 3.40
O 0.0000 0.0000 0.5000  2 Ag 1.94


(6)
PmMnCoGe2: optimized geometry, PBE.

Results
ΔH_f (0 K), eV/atom: -0.52
DOS at the Fermi energy, states/eV/cell: 7.6

a b c (Å): 4.0394 4.0394 10.5275
angles (deg): 90.00 90.00 90.00
With the nearest neighbours (Å) after each atom.
Space group I-4m2 (No. 119)
Asymmetric unit:
Pm 0.0000 0.0000 0.0000  8 Ge 3.14, 4 Mn 3.32, 4 Co 3.32
Mn 0.0000 0.5000 0.7500  4 Ge 2.42
Co 0.0000 0.5000 0.2500  4 Ge 2.42
Ge 0.0000 0.0000 0.3761  2 Mn 2.42, 2 Co 2.42, 1 Ge 2.61


| no. | total energy (eV for the cell shown) |
| --- | --- |
| 1 | -18.4 |
| 2 | -83.1 |
| 3 | -50.2 |
| 4 | -135.4 |
| 5 | -18.9 |
| 6 | -65.7 |